Record 1
The following is a DFT calculation (PBE) of a relaxed TiGa2Pb2 crystal.

a = 4.2493 Å, b = 4.2493 Å, c = 7.6881 Å
α = 73.96°, β = 73.96°, γ = 90.00°
Fractional positions:
Ga  0.4152  0.4152  0.1697
Ga  0.5848  0.5848  0.8303
Pb  0.2500  0.7500  0.5000
Pb  0.7500  0.2500  0.5000
Ti  0.0000  0.0000  0.0000

Calculated density   7.8 Mg/m³
Offset from the most stable computed form   31.4 kJ/mol of atoms
Crystal system   tetragonal

=====

Record 2
The following is a DFT calculation (PBE) of a relaxed Ti12Ga3Pb crystal.

a = 5.1245 Å, b = 5.1284 Å, c = 10.2680 Å
α = 90.00°, β = 90.00°, γ = 90.00°
Fractional positions:
Ti  0.2491  0.5000  0.0000
Ti  0.7509  0.5000  0.0000
Ti  0.5000  0.0000  0.6324
Ti  0.5000  0.0000  0.3676
Ti  0.0000  0.7473  0.2419
Ti  0.2590  0.5000  0.5000
Ti  0.0000  0.2527  0.7581
Ti  0.5000  0.0000  0.8785
Ti  0.7410  0.5000  0.5000
Ti  0.0000  0.2527  0.2419
Ti  0.5000  0.0000  0.1215
Ti  0.0000  0.7473  0.7581
Ga  0.5000  0.5000  0.7498
Ga  0.0000  0.0000  0.0000
Ga  0.5000  0.5000  0.2502
Pb  0.0000  0.0000  0.5000

Calculated density   6.1 Mg/m³
Crystal system   orthorhombic

=====

Record 3
The following is a DFT calculation (PBE) of a relaxed TiGaPb crystal.

a = 5.8394 Å, b = 6.1105 Å, c = 5.3476 Å
α = 55.17°, β = 72.89°, γ = 58.98°
Fractional positions:
Ti  0.5001  0.7273  0.5449
Ti  0.4999  0.2727  0.4551
Ga  0.4371  0.8201  0.9998
Ga  0.5629  0.1799  0.0002
Pb  0.0001  0.3003  0.3993
Pb  0.9999  0.6997  0.6007

Calculated density   8.0 Mg/m³
Crystal system   monoclinic

=====

Record 4
The following is a DFT calculation (PBE) of a relaxed Ti5Ga2Pb2 crystal.

a = 7.0905 Å, b = 7.0082 Å, c = 7.7695 Å
α = 90.00°, β = 62.85°, γ = 90.00°
Fractional positions:
Ti  0.9507  0.3279  0.7625
Ti  0.2867  0.6721  0.7625
Ti  0.7133  0.3279  0.2375
Ti  0.5000  0.5000  0.0000
Ti  0.0000  0.0000  0.0000
Ti  0.2133  0.1721  0.2375
Ti  0.0493  0.6721  0.2375
Ti  0.4507  0.1721  0.7625
Ti  0.5493  0.8279  0.2375
Ti  0.7867  0.8279  0.7625
Pb  0.7847  0.0000  0.4306
Pb  0.2847  0.5000  0.4306
Pb  0.7153  0.5000  0.5694
Pb  0.2153  0.0000  0.5694
Ga  0.3685  0.8699  0.0000
Ga  0.8685  0.6301  0.0000
Ga  0.1315  0.3699  0.0000
Ga  0.6315  0.1301  0.0000

Calculated density   7.7 Mg/m³
Crystal system   orthorhombic

=====

Record 5
The following is a DFT calculation (PBE) of a relaxed Ti10GaPb6 crystal.

a = 5.6394 Å, b = 8.2984 Å, c = 8.2984 Å
α = 120.00°, β = 90.00°, γ = 90.00°
Fractional positions:
Pb  0.2530  0.3873  0.0000
Pb  0.7470  0.6127  0.0000
Pb  0.2530  0.6127  0.6127
Pb  0.7470  0.3873  0.3873
Pb  0.2530  0.0000  0.3873
Pb  0.7470  0.0000  0.6127
Ti  0.0000  0.6667  0.3333
Ti  0.2392  0.7436  0.0000
Ti  0.2392  0.2564  0.2564
Ti  0.5000  0.6667  0.3333
Ti  0.0000  0.3333  0.6667
Ti  0.2392  0.0000  0.7436
Ti  0.5000  0.3333  0.6667
Ti  0.7608  0.2564  0.0000
Ti  0.7608  0.7436  0.7436
Ti  0.7608  0.0000  0.2564
Ga  0.5000  0.0000  0.0000

Calculated density   8.8 Mg/m³
Crystal system   trigonal

=====

Record 6
The following is a DFT calculation (PBE) of a relaxed TiGa2Pb2 crystal.

a = 7.2140 Å, b = 7.2140 Å, c = 4.4010 Å
α = 90.00°, β = 90.00°, γ = 90.00°
Fractional positions:
Ga  0.6328  0.1328  0.0000
Ga  0.8672  0.6328  0.0000
Ga  0.3672  0.8672  0.0000
Ga  0.1328  0.3672  0.0000
Ti  0.0000  0.0000  0.0000
Ti  0.5000  0.5000  0.0000
Pb  0.6758  0.8242  0.5000
Pb  0.8242  0.3242  0.5000
Pb  0.1758  0.6758  0.5000
Pb  0.3242  0.1758  0.5000

Calculated density   8.7 Mg/m³
Offset from the most stable computed form   0.0 kJ/mol of atoms
Crystal system   tetragonal

=====

Record 7
The following is a DFT calculation (PBE) of a relaxed TiGa3Pb crystal.

a = 5.0157 Å, b = 5.0157 Å, c = 5.0157 Å
α = 90.00°, β = 90.00°, γ = 90.00°
Fractional positions:
Ga  0.0000  0.5000  0.0000
Ga  0.5000  0.0000  0.0000
Ga  0.0000  0.0000  0.5000
Pb  0.5000  0.5000  0.5000
Ti  0.0000  0.0000  0.0000

Calculated density   6.1 Mg/m³
Offset from the most stable computed form   0.0 kJ/mol of atoms
Crystal system   cubic

=====

Record 8
The following is a DFT calculation (PBE) of a relaxed TiGaPb3 crystal.

a = 5.4275 Å, b = 5.4275 Å, c = 5.4275 Å
α = 90.00°, β = 90.00°, γ = 90.00°
Fractional positions:
Ga  0.5000  0.5000  0.5000
Pb  0.0000  0.5000  0.0000
Pb  0.5000  0.0000  0.0000
Pb  0.0000  0.0000  0.5000
Ti  0.0000  0.0000  0.0000

Calculated density   7.7 Mg/m³
Offset from the most stable computed form   0.0 kJ/mol of atoms
Crystal system   cubic

=====

| no. | formation energy (meV/atom) |
| --- | --- |
| 1 | 506 |
| 2 | -238 |
| 3 | -66 |
| 4 | -218 |
| 5 | -89 |
| 6 | 180 |
| 7 | 299 |
| 8 | 299 |